# 1
First-principles (PBE) data for an optimized crystal structure of TlCrCl2, as listed in Alexandria via LeMat-Bulk.

```
data_TlCrCl2
_chemical_formula_sum 'Tl2 Cr2 Cl4'
_space_group_name_H-M_alt 'P 1'
_space_group_IT_number 1
_cell_length_a 3.397
_cell_length_b 3.487
_cell_length_c 17.308
_cell_angle_alpha 90.00
_cell_angle_beta 90.00
_cell_angle_gamma 90.00
loop_
_space_group_symop_operation_xyz
'x,y,z'
loop_
_atom_site_label
_atom_site_type_symbol
_atom_site_fract_x
_atom_site_fract_y
_atom_site_fract_z
_atom_site_occupancy
Tl1 Tl 0.000 0.000 0.000 1
Tl2 Tl 0.500 0.500 0.500 1
Cr1 Cr 0.000 0.500 0.254 1
Cr2 Cr 0.500 0.000 0.754 1
Cl1 Cl 0.000 0.000 0.653 1
Cl2 Cl 0.000 0.500 0.826 1
Cl3 Cl 0.500 0.000 0.326 1
Cl4 Cl 0.500 0.500 0.153 1
```

Summary:
VASP energy = -35.42 eV/cell
energy relative to the elements, uncorrected = -2.03 eV/f.u.

***

# 2
First-principles (PBE) data for an optimized crystal structure of TlCr3Cl, as listed in Alexandria via LeMat-Bulk.

```
data_TlCr3Cl
_chemical_formula_sum 'Tl1 Cr3 Cl1'
_space_group_name_H-M_alt 'P 1'
_space_group_IT_number 1
_cell_length_a 5.260
_cell_length_b 5.260
_cell_length_c 5.260
_cell_angle_alpha 90.00
_cell_angle_beta 90.00
_cell_angle_gamma 90.00
loop_
_space_group_symop_operation_xyz
'x,y,z'
loop_
_atom_site_label
_atom_site_type_symbol
_atom_site_fract_x
_atom_site_fract_y
_atom_site_fract_z
_atom_site_occupancy
Tl1 Tl 0.000 0.000 0.000 1
Cr1 Cr 0.000 0.000 0.500 1
Cr2 Cr 0.000 0.500 0.000 1
Cr3 Cr 0.500 0.000 0.000 1
Cl1 Cl 0.500 0.500 0.500 1
```

Summary:
VASP energy = -26.60 eV/cell
energy relative to the elements, uncorrected = 6.49 eV/f.u.

***

# 3
First-principles (PBE) data for an optimized crystal structure of TlCrCl3, as listed in Alexandria via LeMat-Bulk.

```
data_TlCrCl3
_chemical_formula_sum 'Tl1 Cr1 Cl3'
_space_group_name_H-M_alt 'P 1'
_space_group_IT_number 1
_cell_length_a 5.460
_cell_length_b 5.460
_cell_length_c 5.460
_cell_angle_alpha 90.00
_cell_angle_beta 90.00
_cell_angle_gamma 90.00
loop_
_space_group_symop_operation_xyz
'x,y,z'
loop_
_atom_site_label
_atom_site_type_symbol
_atom_site_fract_x
_atom_site_fract_y
_atom_site_fract_z
_atom_site_occupancy
Tl1 Tl 0.000 0.000 0.000 1
Cr1 Cr 0.500 0.500 0.500 1
Cl1 Cl 0.000 0.000 0.500 1
Cl2 Cl 0.000 0.500 0.000 1
Cl3 Cl 0.500 0.000 0.000 1
```

Summary:
VASP energy = -17.88 eV/cell
energy relative to the elements, uncorrected = -0.35 eV/f.u.